[1]
PrTmAs2Pd5 after structural relaxation, computed with PBE.

Calculated values
Energy of formation from the pure elements   -752 meV per atom
DOS(E_F)   2.472 states/eV/cell
SG   P4/mmm, No. 123
Size of the total moment   0.00 μB per formula unit

Lattice parameters (Å, degrees): 4.2867 4.2867 9.2470 90.00 90.00 90.00
With the nearest neighbours (Å) after each atom.
Element x y z (fractional)
Pr  0.0000  0.0000  0.5000  12 Pd 3.03
Tm  0.0000  0.0000  0.0000  8 Pd 3.28, 8 As 3.28
As  0.5000  0.5000  0.1351  4 Pd 2.47, 1 As 2.50
As  0.5000  0.5000  0.8649  4 Pd 2.47, 1 As 2.50
Pd  0.0000  0.5000  0.2679  2 As 2.47
Pd  0.5000  0.0000  0.2679  2 As 2.47
Pd  0.0000  0.5000  0.7321  2 As 2.47
Pd  0.5000  0.0000  0.7321  2 As 2.47
Pd  0.5000  0.5000  0.5000  4 Pr 3.03, 8 Pd 3.03, 2 As 3.37

***

[2]
PrPu2As3 after structural relaxation, computed with PBE.

Calculated values
Relative energy among the computed polymorphs   0.003 eV per atom
Energy of formation from the pure elements   -1169 meV per atom
DOS(E_F)   20.624 states/eV/cell
SG   Immm, No. 71
Size of the total moment   9.94 μB per formula unit

Lattice parameters (Å, degrees): 4.1954 5.9320 7.2560 114.13 106.80 90.00
With the nearest neighbours (Å) after each atom.
Element x y z (fractional)
Pr  0.5000  0.5000  0.5000  6 As 2.97-3.04
Pu  0.8353  0.8353  0.1706  6 As 2.91-2.97
Pu  0.1647  0.1647  0.8294  6 As 2.91-2.97
As  0.8250  0.3250  0.1501  4 Pu 2.91-2.97, 2 Pr 3.04
As  0.1750  0.6750  0.8499  4 Pu 2.91-2.97, 2 Pr 3.04
As  0.5000  0.0000  0.5000  4 Pu 2.95, 2 Pr 2.97

***

[3]
Ce7Sb after structural relaxation, computed with PBE.

Calculated values
E_form (uncorrected)   -2.199 eV per formula unit
DOS(E_F)   22.180 states/eV/cell
SG   Fm-3m, No. 225
Size of the total moment   0.00 μB per formula unit

Lattice parameters (Å, degrees): 6.6396 6.6396 6.6396 60.00 60.00 60.00
With the nearest neighbours (Å) after each atom.
Element x y z (fractional)
Ce  0.5000  0.5000  0.0000  10 Ce 3.32, 2 Sb 3.32
Ce  0.5000  0.0000  0.5000  10 Ce 3.32, 2 Sb 3.32
Ce  0.0000  0.5000  0.5000  10 Ce 3.32, 2 Sb 3.32
Ce  0.5000  0.0000  0.0000  10 Ce 3.32, 2 Sb 3.32
Ce  0.0000  0.5000  0.0000  10 Ce 3.32, 2 Sb 3.32
Ce  0.0000  0.0000  0.5000  2 Sb 3.32, 10 Ce 3.32
Ce  0.5000  0.5000  0.5000  12 Ce 3.32
Sb  0.0000  0.0000  0.0000  12 Ce 3.32